Record 1
## ThScIn (PBE-GGA)

Data for ThScIn after structural relaxation.

Lattice parameters (Å, degrees): 7.2192 7.2192 7.2192 90.00 90.00 90.00
Space group F-43m (No. 216)
Symmetry-distinct sites (fractional):
Th (0.0000, 0.0000, 0.0000) [4 per cell]
Sc (0.0000, 0.0000, 0.5000) [4 per cell]
In (0.2500, 0.2500, 0.7500) [4 per cell]

Computed properties:
Crystal system: cubic
Distance to the lowest polymorph of the same formula (meV per atom): 0

=====

Record 2
## YCo2BP (PBE-GGA)

Data for YCo2BP after structural relaxation.

Lattice parameters (Å, degrees): 3.6505 3.6505 9.6014 90.00 90.00 90.00
Space group I4mm (No. 107)
Symmetry-distinct sites (fractional):
Y (0.0000, 0.0000, 0.0000) [2 per cell]
Co (0.0000, 0.5000, 0.2372) [4 per cell]
B (0.0000, 0.0000, 0.6394) [2 per cell]
P (0.0000, 0.0000, 0.3676) [2 per cell]

Computed properties:
Crystal system: tetragonal
Final energy (eV/atom): -7.34

=====

Record 3
## CdMo3C (PBE-GGA)

Data for CdMo3C after structural relaxation.

Lattice parameters (Å, degrees): 4.2094 4.2094 4.2094 90.00 90.00 90.00
Space group Pm-3m (No. 221)
Symmetry-distinct sites (fractional):
Cd (0.0000, 0.0000, 0.0000) [1 per cell]
Mo (0.0000, 0.5000, 0.5000) [3 per cell]
C (0.5000, 0.5000, 0.5000) [1 per cell]

Computed properties:
Crystal system: cubic
Final energy (eV/atom): -8.25

=====

Record 4
## ReB2Au (PBE-GGA)

Data for ReB2Au after structural relaxation.

Lattice parameters (Å, degrees): 5.8447 5.8447 5.8447 90.00 90.00 90.00
Space group F-43m (No. 216)
Symmetry-distinct sites (fractional):
Re (0.0000, 0.0000, 0.0000) [4 per cell]
B (0.0000, 0.0000, 0.5000) [4 per cell]
B (0.2500, 0.2500, 0.7500) [4 per cell]
Au (0.2500, 0.2500, 0.2500) [4 per cell]

Computed properties:
Crystal system: cubic
Final energy (eV/atom): -5.51

=====

Q: Which formula does entry 1 have?
A: ThScIn

=====

What did the fourth record say?
## ReB2Au (PBE-GGA)

Data for ReB2Au after structural relaxation.

Lattice parameters (Å, degrees): 5.8447 5.8447 5.8447 90.00 90.00 90.00
Space group F-43m (No. 216)
Symmetry-distinct sites (fractional):
Re (0.0000, 0.0000, 0.0000) [4 per cell]
B (0.0000, 0.0000, 0.5000) [4 per cell]
B (0.2500, 0.2500, 0.7500) [4 per cell]
Au (0.2500, 0.2500, 0.2500) [4 per cell]

Computed properties:
Crystal system: cubic
Final energy (eV/atom): -5.51